No. 1
First-principles (PBE) data for LiZrGeRh after structural relaxation, as listed in the Alexandria database.

Summary:
The calculation puts the electronic total energy at -101.73 eV per cell. As for the formation enthalpy at 0 K: -0.750 eV per atom. Its magnetic moment is 0.00 μB per cell.

CIF file:
```
data_LiZrGeRh
_symmetry_space_group_name_H-M 'F -4 3 m'
_symmetry_Int_Tables_number 216
_symmetry_space_group_name_Hall 'F -4 2 3'
_cell_length_a 6.266
_cell_length_b 6.266
_cell_length_c 6.266
_cell_angle_alpha 90.00
_cell_angle_beta 90.00
_cell_angle_gamma 90.00
loop_
_atom_site_label
_atom_site_type_symbol
_atom_site_fract_x
_atom_site_fract_y
_atom_site_fract_z
Li1 Li 0.000 0.000 0.000
Zr1 Zr 0.250 0.250 0.750
Ge1 Ge 0.250 0.250 0.250
Rh1 Rh 0.000 0.000 0.500
```


No. 2
First-principles (PBE) data for TbDyHo4 after structural relaxation, as listed in the Alexandria database.

Summary:
The calculation puts the electronic total energy at -106.52 eV per cell. Its energy relative to the lowest polymorph listed for this composition is 0.80 eV per formula unit. As for the formation enthalpy at 0 K: 0.152 eV per atom. Its magnetic moment is 0.00 μB per cell.

CIF file:
```
data_TbDyHo4
_symmetry_space_group_name_H-M 'C 1 2/c 1'
_symmetry_Int_Tables_number 15
_symmetry_space_group_name_Hall '-C 2yc'
_cell_length_a 8.737
_cell_length_b 14.599
_cell_length_c 6.403
_cell_angle_alpha 90.00
_cell_angle_beta 110.76
_cell_angle_gamma 90.00
loop_
_atom_site_label
_atom_site_type_symbol
_atom_site_fract_x
_atom_site_fract_y
_atom_site_fract_z
Tb1 Tb 0.000 0.086 0.250
Dy1 Dy 0.000 0.499 0.250
Ho1 Ho 0.093 0.304 0.537
Ho2 Ho 0.203 0.128 0.879
```


No. 3
First-principles (PBE) data for Ba3BiRh after structural relaxation, as listed in the Alexandria database.

Summary:
The calculation puts the electronic total energy at -19.43 eV per cell. Its energy relative to the lowest polymorph listed for this composition is 0.00 eV per formula unit. As for the formation enthalpy at 0 K: -0.485 eV per atom. Its magnetic moment is 0.00 μB per cell.

CIF file:
```
data_Ba3BiRh
_symmetry_space_group_name_H-M 'P m -3 m'
_symmetry_Int_Tables_number 221
_symmetry_space_group_name_Hall '-P 4 2 3'
_cell_length_a 5.921
_cell_length_b 5.921
_cell_length_c 5.921
_cell_angle_alpha 90.00
_cell_angle_beta 90.00
_cell_angle_gamma 90.00
loop_
_atom_site_label
_atom_site_type_symbol
_atom_site_fract_x
_atom_site_fract_y
_atom_site_fract_z
Ba1 Ba 0.000 0.000 0.500
Bi1 Bi 0.500 0.500 0.500
Rh1 Rh 0.000 0.000 0.000
```


No. 4
First-principles (PBE) data for InHgBiPb2 after structural relaxation, as listed in the Alexandria database.

Summary:
The calculation puts the electronic total energy at -27.51 eV per cell. As for the formation enthalpy at 0 K: 0.117 eV per atom. Its magnetic moment is 0.00 μB per cell.

CIF file:
```
data_InHgBiPb2
_symmetry_space_group_name_H-M 'I 4 m m'
_symmetry_Int_Tables_number 107
_symmetry_space_group_name_Hall 'I 4 -2'
_cell_length_a 4.700
_cell_length_b 4.700
_cell_length_c 15.783
_cell_angle_alpha 90.00
_cell_angle_beta 90.00
_cell_angle_gamma 90.00
loop_
_atom_site_label
_atom_site_type_symbol
_atom_site_fract_x
_atom_site_fract_y
_atom_site_fract_z
In1 In 0.000 0.000 0.000
Hg1 Hg 0.000 0.000 0.522
Bi1 Bi 0.000 0.000 0.197
Pb1 Pb 0.000 0.500 0.338
```